# PBE-GGA SrY2Zn, relaxed
data_SrY2Zn
_symmetry_space_group_name_H-M 'I 4/m m m'
_symmetry_Int_Tables_number 139
_symmetry_space_group_name_Hall '-I 4 2'
_cell_length_a 5.0515
_cell_length_b 5.0515
_cell_length_c 9.4378
_cell_angle_alpha 90.00
_cell_angle_beta 90.00
_cell_angle_gamma 90.00
loop_
_atom_site_label
_atom_site_fract_x
_atom_site_fract_y
_atom_site_fract_z
_atom_site_occupancy
Sr1 0.0000 0.0000 0.0000 1
Y1 0.0000 0.5000 0.2500 1
Zn1 0.0000 0.0000 0.5000 1
# Energy of formation (eV per atom): 0.1976
# Fermi-level density of states (states/eV/cell): 9.33